A plane-wave DFT calculation with PBE was carried out for PmNdLu after structural relaxation.

Summary:
- density (Mg/m³) = 7.85
- D(E_F) (states/eV/f.u.) = 4.03
- formation enthalpy at 0 K (eV/f.u.) = 0.2
- electronic total energy (eV per formula unit) = -13.82

abc: 5.6952 5.6952 3.4949
angles: 90.00 90.00 120.00
With the nearest neighbours (Å) after each atom.
Space group P3m1 (No. 156)
Inequivalent atoms, fractional coordinates:
Pm 0.0000 0.0000 0.0000 [1 per cell]  3 Lu 3.29, 2 Pm 3.49
Nd 0.6667 0.3333 0.5009 [1 per cell]  2 Nd 3.49, 6 Lu 3.72-3.73, 6 Pm 3.72-3.73
Lu 0.3333 0.6667 0.0022 [1 per cell]  3 Pm 3.29, 2 Lu 3.49